Li3GaBr6, optimized geometry, DFT GGA-PBE; raw total energy = -3.09 eV/atom; ΔE to the lowest computed polymorph = 0 meV/atom; space-group type = Cmc2_1, No. 36
1.0
7.128 0.000 0.000
0.000 9.151 -2.927
0.000 -0.454 9.597
Li Br Ga
6 12 2
direct
0.931 0.154 0.324
0.431 0.324 0.154
0.844 0.541 0.459
0.431 0.846 0.676
0.931 0.676 0.846
0.344 0.459 0.541
0.315 0.095 0.905
0.122 0.703 0.633
0.169 0.118 0.532
0.291 0.841 0.159
0.669 0.532 0.118
0.669 0.882 0.468
0.622 0.633 0.703
0.122 0.367 0.297
0.815 0.905 0.095
0.169 0.468 0.882
0.622 0.297 0.367
0.791 0.159 0.841
0.093 0.211 0.789
0.593 0.789 0.211